Crystalline RbBiIF2 at its relaxed geometry. Source: the Alexandria database, functional PBE. Values from VASP.

Symmetry: P4/mmm (123)
Total magnetic moment (μB per atom): 0.306
Raw total energy (eV for the cell shown): -14.1
E_form (uncorrected) (kcal/mol of atoms): -18.177

Quantum ESPRESSO input file:
```
&SYSTEM
  ibrav = 0, nat = 5, ntyp = 4
/
ATOMIC_SPECIES
Bi 208.98 Bi.upf
F 19.00 F.upf
Rb 85.47 Rb.upf
I 126.90 I.upf
CELL_PARAMETERS angstrom
4.8170 0.0000 0.0000
0.0000 7.4644 0.0000
0.0000 0.0000 4.8170
ATOMIC_POSITIONS crystal
Bi 0.0000 0.5000 0.0000
F 0.5000 0.0000 0.0000
F 0.0000 0.0000 0.5000
Rb 0.0000 0.0000 0.0000
I 0.5000 0.5000 0.5000
```

---

Crystalline LiGd2Re at its relaxed geometry. Source: the Alexandria database, functional PBE. Values from VASP.

Symmetry: R-3m (166)
Total magnetic moment (μB per atom): 3.498
Raw total energy (eV for the cell shown): -39.5
Formation enthalpy at 0 K (eV/atom): 0.7641

Quantum ESPRESSO input file:
```
&SYSTEM
  ibrav = 0, nat = 4, ntyp = 3
/
ATOMIC_SPECIES
Re 186.21 Re.upf
Li 6.94 Li.upf
Gd 157.25 Gd.upf
CELL_PARAMETERS angstrom
-3.0814 0.3354 0.0647
-1.6825 -0.6418 -2.5237
-2.6794 -10.7952 2.6273
ATOMIC_POSITIONS crystal
Re 0.0000 0.0000 0.0000
Li 0.5000 0.5000 0.5000
Gd 0.9203 0.9203 0.2390
Gd 0.0797 0.0797 0.7610
```

---

Crystalline Pm2InTeO8 at its relaxed geometry. Source: the Alexandria database, functional PBE. Values from VASP.

Symmetry: Cmmm (65)
Total magnetic moment (μB per atom): 0.085
Raw total energy (eV for the cell shown): -79.1
E_form (uncorrected) (kcal/mol of atoms): -46.167

Quantum ESPRESSO input file:
```
&SYSTEM
  ibrav = 0, nat = 12, ntyp = 4
/
ATOMIC_SPECIES
O 16.00 O.upf
In 114.82 In.upf
Pm 145.00 Pm.upf
Te 127.60 Te.upf
CELL_PARAMETERS angstrom
-4.3685 0.6068 -2.5505
2.1037 -2.6715 -3.7897
-2.4584 -5.9131 2.8038
ATOMIC_POSITIONS crystal
O 0.1787 0.8210 0.7908
O 0.2913 0.2909 0.5000
O 0.8213 0.1790 0.7908
O 0.7087 0.7091 0.5000
O 0.7263 0.7264 0.0000
O 0.2737 0.2736 0.0000
O 0.8213 0.1790 0.2092
O 0.1787 0.8210 0.2092
In 0.0000 0.0000 0.5000
Pm 0.5000 0.5000 0.2516
Pm 0.5000 0.5000 0.7484
Te 0.0000 0.0000 0.0000
```